# Ti2HgTe2

Ti2HgTe2 after structural relaxation (GGA-PBE, Alexandria via LeMat-Bulk).

Computed properties:
ΔE_f (raw)   -1.71 eV/f.u.
Density of states at the Fermi level   10.38 states/eV/cell
Polymorph energy (0 for the lowest one)   57 meV per atom
Theoretical density   5.83 g cm⁻³
Symmetry   I4/mmm
Size of the total moment   2.912 μB/f.u.

Cell lengths 4.1347, 4.1347, 18.3698 Å; angles 90.00, 90.00, 90.00 degrees
Element x y z (fractional)
Ti: 0.0000 0.5000 0.2500
Ti: 0.0000 0.5000 0.7500
Ti: 0.5000 0.0000 0.2500
Ti: 0.5000 0.0000 0.7500
Hg: 0.0000 0.0000 0.0000
Hg: 0.5000 0.5000 0.5000
Te: 0.0000 0.0000 0.3522
Te: 0.0000 0.0000 0.6478
Te: 0.5000 0.5000 0.1478
Te: 0.5000 0.5000 0.8522

***

# SmTm3Rh

SmTm3Rh after structural relaxation (GGA-PBE, Alexandria via LeMat-Bulk).

Computed properties:
Density of states at the Fermi level   7.63 states/eV/cell
Polymorph energy (0 for the lowest one)   81 meV per atom
Theoretical density   8.26 g cm⁻³
Symmetry   Pm-3m
Size of the total moment   0.000 μB/f.u.
ΔH_f (0 K)   -1.398 eV per formula unit

Cell lengths 5.3456, 5.3456, 5.3456 Å; angles 90.00, 90.00, 90.00 degrees
Element x y z (fractional)
Sm: 0.0000 0.0000 0.0000
Tm: 0.0000 0.5000 0.5000
Tm: 0.5000 0.0000 0.5000
Tm: 0.5000 0.5000 0.0000
Rh: 0.5000 0.5000 0.5000

***

# PaVGe3

PaVGe3 after structural relaxation (GGA-PBE, Alexandria via LeMat-Bulk).

Computed properties:
Density of states at the Fermi level   21.55 states/eV/cell
Theoretical density   8.68 g cm⁻³
Symmetry   Pnma
Size of the total moment   0.000 μB/f.u.
ΔH_f (0 K)   -0.935 eV per formula unit

Cell lengths 8.0868, 3.7884, 12.4891 Å; angles 90.00, 90.00, 90.00 degrees
Element x y z (fractional)
Pa: 0.0387 0.2500 0.1598
Pa: 0.4613 0.7500 0.6598
Pa: 0.5387 0.2500 0.3402
Pa: 0.9613 0.7500 0.8402
V: 0.1403 0.7500 0.4302
V: 0.3597 0.2500 0.9302
V: 0.6403 0.7500 0.0698
V: 0.8597 0.2500 0.5698
Ge: 0.0728 0.7500 0.6208
Ge: 0.2035 0.7500 0.0158
Ge: 0.2134 0.2500 0.7542
Ge: 0.2866 0.7500 0.2542
Ge: 0.2965 0.2500 0.5158
Ge: 0.4272 0.2500 0.1208
Ge: 0.5728 0.7500 0.8792
Ge: 0.7035 0.7500 0.4842
Ge: 0.7134 0.2500 0.7458
Ge: 0.7866 0.7500 0.2458
Ge: 0.7965 0.2500 0.9842
Ge: 0.9272 0.2500 0.3792

***

# Na2Zn2SbAu5

Na2Zn2SbAu5 after structural relaxation (GGA-PBE, Alexandria via LeMat-Bulk).

Computed properties:
ΔE_f (raw)   -2.16 eV/f.u.
Density of states at the Fermi level   6.84 states/eV/cell
Theoretical density   10.39 g cm⁻³
Symmetry   P4/mbm
Size of the total moment   0.000 μB/f.u.

Cell lengths 10.6601, 10.6601, 3.6104 Å; angles 90.00, 90.00, 90.00 degrees
Element x y z (fractional)
Na: 0.1749 0.3251 0.0000
Na: 0.3251 0.8251 0.0000
Na: 0.6749 0.1749 0.0000
Na: 0.8251 0.6749 0.0000
Zn: 0.1251 0.6251 0.0000
Zn: 0.3749 0.1251 0.0000
Zn: 0.6251 0.8749 0.0000
Zn: 0.8749 0.3749 0.0000
Sb: 0.0000 0.0000 0.0000
Sb: 0.5000 0.5000 0.0000
Au: 0.0000 0.5000 0.5000
Au: 0.0605 0.7927 0.5000
Au: 0.2073 0.0605 0.5000
Au: 0.2927 0.5605 0.5000
Au: 0.4395 0.2927 0.5000
Au: 0.5000 0.0000 0.5000
Au: 0.5605 0.7073 0.5000
Au: 0.7073 0.4395 0.5000
Au: 0.7927 0.9395 0.5000
Au: 0.9395 0.2073 0.5000

***

# KMnBr2

KMnBr2 after structural relaxation (GGA-PBE, Alexandria via LeMat-Bulk).

Computed properties:
ΔE_f (raw)   -2.48 eV/f.u.
Density of states at the Fermi level   5.66 states/eV/cell
Polymorph energy (0 for the lowest one)   131 meV per atom
Theoretical density   3.70 g cm⁻³
Symmetry   Imm2
Size of the total moment   4.490 μB/f.u.

Cell lengths 3.7937, 4.0567, 14.7936 Å; angles 90.00, 90.00, 90.00 degrees
Element x y z (fractional)
K: 0.0000 0.0000 0.0000
K: 0.5000 0.5000 0.5000
Mn: 0.0000 0.5000 0.2563
Mn: 0.5000 0.0000 0.7563
Br: 0.0000 0.0000 0.6179
Br: 0.0000 0.5000 0.8225
Br: 0.5000 0.0000 0.3225
Br: 0.5000 0.5000 0.1179

***

# Fe2ReNi6

Fe2ReNi6 after structural relaxation (GGA-PBE, Alexandria via LeMat-Bulk).

Computed properties:
Density of states at the Fermi level   10.96 states/eV/cell
Theoretical density   10.38 g cm⁻³
Symmetry   C2/m
Size of the total moment   7.508 μB/f.u.
ΔH_f (0 K)   0.234 eV per formula unit

Cell lengths 5.6747, 5.6747, 7.6129 Å; angles 102.92, 102.92, 25.85 degrees
Element x y z (fractional)
Fe: 0.1712 0.1712 0.2346
Fe: 0.8288 0.8288 0.7654
Re: 0.5000 0.5000 0.0000
Ni: 0.1648 0.1648 0.5522
Ni: 0.1696 0.1696 0.8892
Ni: 0.4970 0.4970 0.3322
Ni: 0.5030 0.5030 0.6678
Ni: 0.8304 0.8304 0.1108
Ni: 0.8352 0.8352 0.4478

***

# TaVNi2

TaVNi2 after structural relaxation (GGA-PBE, Alexandria via LeMat-Bulk).

Computed properties:
Density of states at the Fermi level   19.66 states/eV/cell
Polymorph energy (0 for the lowest one)   429 meV per atom
Theoretical density   10.33 g cm⁻³
Symmetry   I-42d
Size of the total moment   0.000 μB/f.u.
ΔH_f (0 K)   1.018 eV per formula unit

Cell lengths 6.6672, 6.6672, 5.0508 Å; angles 90.00, 90.00, 90.00 degrees
Element x y z (fractional)
Ta: 0.0000 0.0000 0.0000
Ta: 0.0000 0.5000 0.2500
Ta: 0.5000 0.0000 0.7500
Ta: 0.5000 0.5000 0.5000
V: 0.0000 0.0000 0.5000
V: 0.0000 0.5000 0.7500
V: 0.5000 0.0000 0.2500
V: 0.5000 0.5000 0.0000
Ni: 0.2307 0.2500 0.6250
Ni: 0.2500 0.7307 0.8750
Ni: 0.2500 0.7693 0.3750
Ni: 0.2693 0.2500 0.1250
Ni: 0.7307 0.7500 0.1250
Ni: 0.7500 0.2307 0.3750
Ni: 0.7500 0.2693 0.8750
Ni: 0.7693 0.7500 0.6250

***

# BaZr2

BaZr2 after structural relaxation (GGA-PBE, Alexandria via LeMat-Bulk).

Computed properties:
Density of states at the Fermi level   14.11 states/eV/cell
Polymorph energy (0 for the lowest one)   326 meV per atom
Theoretical density   5.62 g cm⁻³
Symmetry   Fd-3m
Size of the total moment   1.830 μB/f.u.
ΔH_f (0 K)   1.933 eV per formula unit

Cell lengths 6.4418, 6.4418, 6.4418 Å; angles 60.00, 60.00, 60.00 degrees
Element x y z (fractional)
Ba: 0.1250 0.1250 0.1250
Ba: 0.8750 0.8750 0.8750
Zr: 0.0000 0.5000 0.5000
Zr: 0.5000 0.0000 0.5000
Zr: 0.5000 0.5000 0.0000
Zr: 0.5000 0.5000 0.5000

***

Copy entry 2 word for word.
# SmTm3Rh

SmTm3Rh after structural relaxation (GGA-PBE, Alexandria via LeMat-Bulk).

Computed properties:
Density of states at the Fermi level   7.63 states/eV/cell
Polymorph energy (0 for the lowest one)   81 meV per atom
Theoretical density   8.26 g cm⁻³
Symmetry   Pm-3m
Size of the total moment   0.000 μB/f.u.
ΔH_f (0 K)   -1.398 eV per formula unit

Cell lengths 5.3456, 5.3456, 5.3456 Å; angles 90.00, 90.00, 90.00 degrees
Element x y z (fractional)
Sm: 0.0000 0.0000 0.0000
Tm: 0.0000 0.5000 0.5000
Tm: 0.5000 0.0000 0.5000
Tm: 0.5000 0.5000 0.0000
Rh: 0.5000 0.5000 0.5000

***

Question: Which formula does entry 8 have?
Answer: BaZr2

***

Question: Look up the size of the total moment of the second one.
Answer: 0.000 μB/f.u.

***

Question: Number 1 is which compound?
Answer: Ti2HgTe2